# 1
VASP calculation (PBE) on GaAg2Au after structural relaxation.

Properties
**Final energy**: -49.21 eV/cell
**Volume**: 288 Å³ per cell
**ΔH_f (0 K)**: -0.07 eV per atom
**Total magnetic moment**: 0.00 μB per cell
**DOS(E_F)**: 0.81 states/eV/f.u.

abc: 5.7271 9.4945 5.3009
angles: 90.00 90.00 90.00
Closest atoms and distances in Å follow each position.
Space group Pnma (No. 62)
Unique sites:
Ga  0.1402  0.2500  0.0115 [4 per cell]  4 Au 2.63-2.91, 2 Ag 2.82
Ag  0.1163  0.5154  0.2500 [8 per cell]  3 Ga 2.82-3.01, 6 Ag 2.86-3.08, 3 Au 2.87-2.99
Au  0.1484  0.2500  0.5073 [4 per cell]  4 Ga 2.63-2.91, 4 Ag 2.87-2.90

# 2
VASP calculation (PBE) on GaAg5Au after structural relaxation.

Properties
**Final energy**: -80.18 eV/cell
**Volume**: 532 Å³ per cell
**ΔH_f (0 K)**: 0.07 eV per atom
**Total magnetic moment**: 0.00 μB per cell
**DOS(E_F)**: 1.86 states/eV/f.u.

abc: 7.3754 9.9961 7.2939
angles: 90.00 98.07 90.00
Closest atoms and distances in Å follow each position.
Space group C2/c (No. 15)
Unique sites:
Ga  0.2500  0.2500  0.0000 [4 per cell]  6 Ag 2.62-2.82, 2 Au 2.77
Ag  0.0000  0.0160  0.7500 [4 per cell]  1 Au 2.79, 4 Ag 2.85-2.91
Ag  0.1274  0.2725  0.6299 [8 per cell]  2 Ga 2.73-2.82, 5 Ag 2.74-2.99, 2 Au 2.79-2.80
Ag  0.1662  0.4972  0.9040 [8 per cell]  1 Ga 2.62, 1 Au 2.85, 2 Ag 2.85-2.87
Au  0.0000  0.2636  0.2500 [4 per cell]  2 Ga 2.77, 7 Ag 2.79-2.85

# 3
VASP calculation (PBE) on Ga4Ag4Au after structural relaxation.

Properties
**Final energy**: -53.73 eV/cell
**Volume**: 320 Å³ per cell
**ΔH_f (0 K)**: -0.01 eV per atom
**Total magnetic moment**: 0.00 μB per cell
**DOS(E_F)**: 3.63 states/eV/f.u.

abc: 8.5134 8.5134 4.4165
angles: 90.00 90.00 90.00
Closest atoms and distances in Å follow each position.
Space group I4/mmm (No. 139)
Unique sites:
Ga  0.0000  0.3316  0.0000 [8 per cell]  6 Ag 2.81-2.98, 1 Au 2.82, 5 Ga 2.87-3.00
Ag  0.1702  0.1702  0.5000 [8 per cell]  6 Ga 2.81-2.98, 4 Ag 2.90-2.93, 2 Au 3.01
Au  0.0000  0.0000  0.0000 [2 per cell]  4 Ga 2.82, 8 Ag 3.01

# 4
VASP calculation (PBE) on Ga2Ag3Au2 after structural relaxation.

Properties
**Final energy**: -21.18 eV/cell
**Volume**: 127 Å³ per cell
**ΔH_f (0 K)**: 0.00 eV per atom
**Total magnetic moment**: 0.00 μB per cell
**DOS(E_F)**: 1.72 states/eV/f.u.

abc: 4.4829 2.9091 9.9937
angles: 90.00 102.05 90.00
Closest atoms and distances in Å follow each position.
Space group P2/m (No. 10)
Unique sites:
Ga  0.1445  0.0000  0.2760 [2 per cell]  3 Ag 2.63-2.70, 2 Au 2.91, 2 Ga 2.91
Ag  0.0000  0.0000  0.0000 [1 per cell]  2 Ga 2.70, 2 Ag 2.91
Ag  0.2877  0.0000  0.5812 [2 per cell]  2 Ga 2.63-2.65, 4 Ag 2.75-2.91
Au  0.4254  0.5000  0.8507 [2 per cell]  4 Ga 2.91-2.98, 3 Au 2.91-2.92, 6 Ag 3.01-3.06

# 5
VASP calculation (PBE) on GaAgAu2 after structural relaxation.

Properties
**Final energy**: -37.82 eV/cell
**Volume**: 230 Å³ per cell
**ΔH_f (0 K)**: -0.04 eV per atom
**Total magnetic moment**: 0.00 μB per cell
**DOS(E_F)**: 1.64 states/eV/f.u.

abc: 4.3856 4.3856 13.8355
angles: 90.00 90.00 120.00
Closest atoms and distances in Å follow each position.
Space group R3m (No. 160, hexagonal axes)
Unique sites:
Ga  0.0000  0.0000  0.0000 [3 per cell]  6 Au 2.61-2.76, 1 Ag 2.65
Ag  0.0000  0.0000  0.8082 [3 per cell]  1 Ga 2.65, 3 Au 2.86
Au  0.0000  0.0000  0.3788 [3 per cell]  3 Ga 2.61, 3 Ag 2.86, 1 Au 2.90
Au  0.0000  0.0000  0.5881 [3 per cell]  3 Ga 2.76, 4 Au 2.90-3.06, 4 Ag 2.98-3.05

# 6
VASP calculation (PBE) on Ga2AgAu3 after structural relaxation.

Properties
**Final energy**: -305.52 eV/cell
**Volume**: 1906 Å³ per cell
**ΔH_f (0 K)**: -0.06 eV per atom
**Total magnetic moment**: 0.00 μB per cell
**Relative energy among the computed polymorphs**: 49.7 meV per atom
**DOS(E_F)**: 1.67 states/eV/f.u.

abc: 10.7394 11.0520 16.0600
angles: 90.00 90.00 90.00
Closest atoms and distances in Å follow each position.
Space group Fddd (No. 70, origin choice 2)
Unique sites:
Ga  0.0029  0.0093  0.2340 [32 per cell]  4 Au 2.54-2.71, 1 Ag 2.79
Ag  0.0662  0.3750  0.8750 [16 per cell]  4 Ga 2.79-2.95, 4 Au 2.84-2.91
Au  0.0000  0.0000  0.0000 [16 per cell]  4 Ga 2.67, 2 Au 2.94
Au  0.1250  0.1250  0.3886 [16 per cell]  2 Ga 2.54, 2 Au 2.78
Au  0.1250  0.3116  0.6250 [16 per cell]  2 Ga 2.71, 2 Au 2.78, 2 Ag 2.91

# 7
VASP calculation (PBE) on GaAg2Au2 after structural relaxation.

Properties
**Final energy**: -29.63 eV/cell
**Volume**: 205 Å³ per cell
**ΔH_f (0 K)**: 0.09 eV per atom
**Total magnetic moment**: 0.00 μB per cell
**Relative energy among the computed polymorphs**: 176.3 meV per atom
**DOS(E_F)**: 1.60 states/eV/f.u.

abc: 3.8247 3.8247 13.9877
angles: 90.00 90.00 90.00
Closest atoms and distances in Å follow each position.
Space group I4/mmm (No. 139)
Unique sites:
Ga  0.0000  0.0000  0.0000 [2 per cell]  8 Au 3.02
Ag  0.0000  0.5000  0.2500 [4 per cell]  4 Ag 2.70, 4 Au 2.87
Au  0.0000  0.0000  0.4033 [4 per cell]  1 Au 2.71, 4 Ag 2.87, 4 Ga 3.02

# 8
VASP calculation (PBE) on Ga2AgAu after structural relaxation.

Properties
**Final energy**: -12.33 eV/cell
**Volume**: 72 Å³ per cell
**ΔH_f (0 K)**: -0.04 eV per atom
**Total magnetic moment**: 0.00 μB per cell
**Relative energy among the computed polymorphs**: 26.0 meV per atom
**DOS(E_F)**: 1.10 states/eV/f.u.

abc: 4.2242 4.2242 4.0180
angles: 90.00 90.00 90.00
Closest atoms and distances in Å follow each position.
Space group P4/mmm (No. 123)
Unique sites:
Ga  0.0000  0.5000  0.0000 [2 per cell]  4 Au 2.91, 4 Ag 2.91, 4 Ga 2.99
Ag  0.0000  0.0000  0.5000 [1 per cell]  8 Ga 2.91, 4 Au 2.99
Au  0.5000  0.5000  0.5000 [1 per cell]  8 Ga 2.91, 4 Ag 2.99

# 9
VASP calculation (PBE) on GaAgAu2 after structural relaxation.

Properties
**Final energy**: -25.41 eV/cell
**Volume**: 145 Å³ per cell
**ΔH_f (0 K)**: -0.07 eV per atom
**Total magnetic moment**: 0.00 μB per cell
**DOS(E_F)**: 0.65 states/eV/f.u.

abc: 4.5161 3.8062 8.5074
angles: 90.00 98.19 90.00
Closest atoms and distances in Å follow each position.
Space group C2/m (No. 12)
Unique sites:
Ga  0.0000  0.0000  0.0000 [2 per cell]  6 Au 2.61-2.86
Ag  0.0000  0.0000  0.5000 [2 per cell]  8 Au 2.88-3.15, 4 Ag 2.95
Au  0.0755  0.5000  0.7572 [4 per cell]  3 Ga 2.61-2.86, 2 Ag 2.88

# 10
VASP calculation (PBE) on GaAgAu6 after structural relaxation.

Properties
**Final energy**: -52.10 eV/cell
**Volume**: 286 Å³ per cell
**ΔH_f (0 K)**: -0.06 eV per atom
**Total magnetic moment**: 0.00 μB per cell
**Relative energy among the computed polymorphs**: 0.0 meV per atom
**DOS(E_F)**: 0.55 states/eV/f.u.

abc: 4.7956 5.9206 10.0594
angles: 90.00 90.00 90.00
Closest atoms and distances in Å follow each position.
Space group Amm2 (No. 38)
Unique sites:
Ga  0.0000  0.0000  0.0000 [2 per cell]  10 Au 2.91-2.95, 2 Ag 2.96
Ag  0.0000  0.0000  0.5017 [2 per cell]  10 Au 2.92-2.94, 2 Ga 2.96
Au  0.0000  0.2501  0.2515 [4 per cell]  2 Ga 2.91-2.93, 2 Ag 2.92, 8 Au 2.93-2.96
Au  0.5000  0.0000  0.1705 [2 per cell]  10 Au 2.89-2.96, 2 Ga 2.95
Au  0.5000  0.0000  0.6712 [2 per cell]  10 Au 2.91-2.96, 2 Ag 2.94
Au  0.5000  0.2474  0.9231 [4 per cell]  8 Au 2.89-2.99, 2 Ga 2.91, 2 Ag 2.93

# 11
VASP calculation (PBE) on GaAg6Au8 after structural relaxation.

Properties
**Final energy**: -136.56 eV/cell
**Volume**: 880 Å³ per cell
**ΔH_f (0 K)**: 0.06 eV per atom
**Total magnetic moment**: 0.00 μB per cell
**DOS(E_F)**: 3.15 states/eV/f.u.

abc: 7.6951 7.6951 17.1555
angles: 90.00 90.00 120.00
Closest atoms and distances in Å follow each position.
Space group R-3 (No. 148, hexagonal axes)
Unique sites:
Ga  0.0000  0.0000  0.0000 [3 per cell]  6 Ag 2.76
Ag  0.0109  0.7145  0.6296 [18 per cell]  1 Ga 2.76, 3 Ag 2.76-2.97, 6 Au 2.77-3.06
Au  0.0000  0.0000  0.2506 [6 per cell]  3 Au 2.80, 6 Ag 2.91-3.04
Au  0.0084  0.6878  0.1307 [18 per cell]  4 Ag 2.77-3.06, 4 Au 2.80-2.86

# 12
VASP calculation (PBE) on Ga4Ag3Au4 after structural relaxation.

Properties
**Final energy**: -34.93 eV/cell
**Volume**: 197 Å³ per cell
**ΔH_f (0 K)**: -0.11 eV per atom
**Total magnetic moment**: 0.00 μB per cell
**DOS(E_F)**: 2.94 states/eV/f.u.

abc: 2.9856 4.6360 14.4584
angles: 98.89 95.91 90.42
Closest atoms and distances in Å follow each position.
Space group P-1 (No. 2)
Unique sites:
Ga  0.0936  0.0897  0.1831 [2 per cell]  3 Au 2.61-2.63
Ga  0.2297  0.7318  0.4636 [2 per cell]  4 Au 2.68-2.82, 6 Ga 2.93-2.99, 2 Ag 3.00
Ag  0.3619  0.3574  0.7198 [2 per cell]  6 Au 2.98-3.04, 2 Ag 2.99, 6 Ga 3.00-3.12
Ag  0.5000  0.0000  0.0000 [1 per cell]  2 Ag 2.99, 4 Ga 3.00, 8 Au 3.08-3.11
Au  0.0434  0.5482  0.0987 [2 per cell]  2 Ga 2.61, 1 Au 2.80
Au  0.1853  0.1856  0.3682 [2 per cell]  5 Ga 2.63-2.82